This record from the Alexandria database describes a relaxed ReSeIO2 crystal. The functional is PBE-GGA. Values from VASP.

The structure in Quantum ESPRESSO input format:
```
&SYSTEM
  ibrav = 0, nat = 5, ntyp = 4
/
ATOMIC_SPECIES
Se 78.96 Se.upf
Re 186.21 Re.upf
O 16.00 O.upf
I 126.90 I.upf
ATOMIC_POSITIONS crystal
Se 0.000 0.000 0.000
Re 0.500 0.500 0.500
O 0.000 0.500 0.000
O 0.500 0.000 0.000
I 0.000 0.000 0.500
CELL_PARAMETERS angstrom
3.901 0.000 0.000
0.000 3.901 0.000
0.000 0.000 6.912
```

Excess energy over the best structure of this formula in the dataset, meV per atom: 1365.2
Spin magnetization, μB/f.u.: 3.7
SG: No. 123
Formation energy without anion corrections, eV per formula unit: 4.76
Crystal system: tetragonal
Total DFT energy (no corrections), eV per atom: -4.53